This record from the Alexandria database describes crystalline PmDy5Th at its relaxed geometry. The functional is PBE.

Cell: 8.651 8.651 8.648 Å, 106.51 101.54 121.06°
Fractional coordinates of all 14 atoms:
1 Dy 0.798 0.255 0.043
2 Dy 0.287 0.037 0.750
3 Dy 0.000 0.245 0.745
4 Dy 0.789 0.745 0.543
5 Pm 0.299 0.549 0.250
6 Th 0.000 0.500 0.500
7 Th 0.000 0.000 0.000
8 Dy 0.713 0.963 0.250
9 Dy 0.202 0.745 0.957
10 Dy 0.500 0.245 0.245
11 Pm 0.701 0.451 0.750
12 Dy 0.000 0.755 0.255
13 Dy 0.211 0.255 0.457
14 Dy 0.500 0.755 0.755

Output
volume = 34.420 Å³ per atom
total energy = -4.8018 eV per atom
DFT formation energy = 0.2241 eV per atom
spin magnetization = 0.0 μB/f.u.
symmetry = Imma, No. 74

---

This record from the Alexandria database describes crystalline Pm2Dy3Th3 at its relaxed geometry. The functional is PBE.

Cell: 3.644 9.115 9.115 Å, 119.99 90.00 90.00°
Fractional coordinates of all 8 atoms:
1 Pm 0.000 0.333 0.667
2 Dy 0.500 0.606 0.606
3 Dy 0.500 0.394 0.000
4 Th 0.000 0.000 0.775
5 Dy 0.500 0.000 0.394
6 Th 0.000 0.225 0.225
7 Th 0.000 0.775 0.000
8 Pm 0.000 0.667 0.333

Output
volume = 32.779 Å³ per atom
total energy = -5.5310 eV per atom
DFT formation energy = 0.1649 eV per atom
spin magnetization = 0.0 μB/f.u.
symmetry = P-62m, No. 189

---

This record from the Alexandria database describes crystalline Pm5Dy3Th2 at its relaxed geometry. The functional is PBE.

Cell: 9.031 9.051 11.296 Å, 120.58 120.54 74.31°
Fractional coordinates of all 20 atoms:
1 Th 0.237 0.987 0.244
2 Dy 0.273 0.523 0.755
3 Pm 0.620 0.868 0.235
4 Pm 0.115 0.367 0.235
5 Th 0.763 0.013 0.756
6 Th 0.493 0.743 0.756
7 Dy 0.018 0.768 0.245
8 Pm 0.972 0.222 0.443
9 Pm 0.380 0.132 0.765
10 Dy 0.784 0.034 0.067
11 Dy 0.982 0.232 0.755
12 Dy 0.727 0.477 0.245
13 Dy 0.216 0.966 0.933
14 Pm 0.720 0.470 0.939
15 Pm 0.028 0.778 0.557
16 Pm 0.471 0.721 0.443
17 Pm 0.280 0.530 0.061
18 Pm 0.885 0.633 0.765
19 Pm 0.529 0.279 0.557
20 Th 0.507 0.257 0.244

Output
volume = 34.226 Å³ per atom
total energy = -5.0315 eV per atom
DFT formation energy = 0.2084 eV per atom
spin magnetization = 0.0 μB/f.u.
symmetry = C2/c, No. 15

---

This record from the Alexandria database describes crystalline Pm2Dy12Th5 at its relaxed geometry. The functional is PBE.

Cell: 7.026 9.952 10.285 Å, 68.75 90.00 110.67°
Fractional coordinates of all 19 atoms:
1 Dy 0.582 0.666 0.520
2 Dy 0.089 0.685 0.864
3 Pm 0.283 0.000 0.000
4 Dy 0.032 0.063 0.758
5 Dy 0.404 0.315 0.136
6 Th 0.000 0.000 0.500
7 Pm 0.717 0.000 0.000
8 Dy 0.911 0.315 0.136
9 Th 0.188 0.375 0.822
10 Th 0.679 0.359 0.789
11 Dy 0.968 0.937 0.242
12 Dy 0.418 0.334 0.480
13 Dy 0.502 0.004 0.671
14 Dy 0.083 0.666 0.520
15 Th 0.321 0.641 0.211
16 Dy 0.917 0.334 0.480
17 Th 0.812 0.625 0.178
18 Dy 0.596 0.685 0.864
19 Dy 0.498 0.996 0.329

Output
volume = 32.649 Å³ per atom
total energy = -5.1451 eV per atom
DFT formation energy = 0.2142 eV per atom
spin magnetization = 0.0 μB/f.u.
polymorph energy (0 for the lowest one) = 0.053 eV/atom
symmetry = C2/m, No. 12

---

This record from the Alexandria database describes crystalline Pm2Dy12Th5 at its relaxed geometry. The functional is PBE.

Cell: 6.993 11.513 8.662 Å, 72.06 90.00 107.68°
Fractional coordinates of all 19 atoms:
1 Dy 0.849 0.699 0.080
2 Dy 0.052 0.599 0.789
3 Dy 0.852 0.218 0.619
4 Dy 0.547 0.094 0.310
5 Pm 0.254 0.000 0.000
6 Pm 0.746 0.000 0.000
7 Dy 0.548 0.599 0.789
8 Th 0.653 0.306 0.907
9 Th 0.000 0.000 0.500
10 Th 0.249 0.497 0.506
11 Th 0.751 0.503 0.494
12 Dy 0.634 0.782 0.381
13 Th 0.347 0.694 0.093
14 Dy 0.148 0.782 0.381
15 Dy 0.366 0.218 0.619
16 Dy 0.453 0.906 0.690
17 Dy 0.452 0.401 0.211
18 Dy 0.948 0.401 0.211
19 Dy 0.151 0.301 0.920

Output
volume = 33.089 Å³ per atom
total energy = -5.1980 eV per atom
DFT formation energy = 0.1612 eV per atom
spin magnetization = 0.0 μB/f.u.
polymorph energy (0 for the lowest one) = 0.000 eV/atom
symmetry = C2/m, No. 12

---

This record from the Alexandria database describes crystalline Pm4DyTh at its relaxed geometry. The functional is PBE.

Cell: 6.609 6.609 6.609 Å, 60.00 60.00 60.00°
Each line ends with the local moment (μB).
Fractional coordinates of all 6 atoms:
1 Dy 0.000 0.000 0.000  0.19
2 Pm 0.126 0.625 0.625  0.09
3 Th 0.250 0.250 0.250  0.23
4 Pm 0.625 0.625 0.126  0.09
5 Pm 0.625 0.126 0.625  0.09
6 Pm 0.625 0.625 0.625  0.09

Output
volume = 34.022 Å³ per atom
total energy = -4.8457 eV per atom
DFT formation energy = 0.3250 eV per atom
spin magnetization = 1.5 μB/f.u.
polymorph energy (0 for the lowest one) = 0.283 eV/atom
symmetry = F-43m, No. 216

---

This record from the Alexandria database describes crystalline Pm5Dy12Th2 at its relaxed geometry. The functional is PBE.

Cell: 9.378 9.111 8.668 Å, 92.26 90.00 120.97°
Fractional coordinates of all 19 atoms:
1 Dy 0.822 0.260 0.671
2 Dy 0.031 0.705 0.758
3 Dy 0.443 0.886 0.667
4 Dy 0.325 0.295 0.242
5 Pm 0.232 0.464 0.569
6 Pm 0.000 0.000 0.500
7 Th 0.672 0.000 0.000
8 Dy 0.438 0.260 0.671
9 Dy 0.557 0.114 0.333
10 Dy 0.073 0.146 0.876
11 Dy 0.178 0.740 0.329
12 Dy 0.969 0.295 0.242
13 Th 0.328 0.000 0.000
14 Dy 0.562 0.740 0.329
15 Dy 0.675 0.705 0.758
16 Pm 0.705 0.410 0.026
17 Dy 0.927 0.854 0.124
18 Pm 0.768 0.536 0.431
19 Pm 0.295 0.590 0.974

Output
volume = 33.386 Å³ per atom
total energy = -4.7941 eV per atom
DFT formation energy = 0.1437 eV per atom
spin magnetization = 0.0 μB/f.u.
polymorph energy (0 for the lowest one) = 0.119 eV/atom
symmetry = C2/m, No. 12

---

This record from the Alexandria database describes crystalline Pm12Dy3Th at its relaxed geometry. The functional is PBE.

Cell: 5.129 5.129 20.496 Å, 90.00 90.00 90.00°
Fractional coordinates of all 16 atoms:
1 Pm 0.500 0.000 0.375
2 Pm 0.500 0.500 0.252
3 Dy 0.000 0.000 0.250
4 Th 0.000 0.000 0.000
5 Pm 0.500 0.500 0.748
6 Pm 0.000 0.500 0.625
7 Dy 0.000 0.000 0.750
8 Dy 0.000 0.000 0.500
9 Pm 0.500 0.000 0.876
10 Pm 0.500 0.500 0.500
11 Pm 0.500 0.000 0.124
12 Pm 0.000 0.500 0.375
13 Pm 0.500 0.500 0.000
14 Pm 0.000 0.500 0.124
15 Pm 0.500 0.000 0.625
16 Pm 0.000 0.500 0.876

Output
volume = 33.703 Å³ per atom
total energy = -4.8645 eV per atom
DFT formation energy = 0.0251 eV per atom
spin magnetization = 0.0 μB/f.u.
symmetry = P4/mmm, No. 123

---

This record from the Alexandria database describes crystalline PmDy6Th2 at its relaxed geometry. The functional is PBE.

Cell: 3.571 3.571 26.413 Å, 90.00 90.00 120.00°
Fractional coordinates of all 9 atoms:
1 Dy 0.333 0.667 0.437
2 Dy 0.333 0.667 0.781
3 Th 0.667 0.333 0.670
4 Th 0.667 0.333 0.330
5 Dy 0.333 0.667 0.219
6 Pm 0.333 0.667 0.000
7 Dy 0.667 0.333 0.111
8 Dy 0.667 0.333 0.889
9 Dy 0.333 0.667 0.563

Output
volume = 32.407 Å³ per atom
total energy = -5.1694 eV per atom
DFT formation energy = 0.0754 eV per atom
spin magnetization = 0.0 μB/f.u.
polymorph energy (0 for the lowest one) = 0.020 eV/atom
symmetry = P-6m2, No. 187

---

This record from the Alexandria database describes crystalline Pm5Dy12Th2 at its relaxed geometry. The functional is PBE.

Cell: 6.194 9.462 11.861 Å, 117.10 94.93 83.76°
Fractional coordinates of all 19 atoms:
1 Pm 0.841 0.263 0.817
2 Dy 0.051 0.580 0.395
3 Pm 0.421 0.632 0.660
4 Dy 0.949 0.420 0.605
5 Pm 0.000 0.000 0.500
6 Dy 0.316 0.477 0.868
7 Dy 0.789 0.690 0.922
8 Dy 0.896 0.844 0.714
9 Th 0.262 0.899 0.975
10 Dy 0.104 0.156 0.286
11 Dy 0.629 0.947 0.233
12 Pm 0.159 0.737 0.183
13 Pm 0.579 0.368 0.340
14 Dy 0.211 0.310 0.078
15 Dy 0.528 0.790 0.447
16 Dy 0.472 0.210 0.553
17 Dy 0.371 0.053 0.767
18 Dy 0.684 0.523 0.132
19 Th 0.738 0.101 0.025

Output
volume = 32.352 Å³ per atom
total energy = -4.9136 eV per atom
DFT formation energy = 0.0242 eV per atom
spin magnetization = 0.0 μB/f.u.
polymorph energy (0 for the lowest one) = 0.000 eV/atom
symmetry = P-1, No. 2

---

This record from the Alexandria database describes crystalline PmDyTh3 at its relaxed geometry. The functional is PBE.

Cell: 6.005 11.848 8.307 Å, 135.49 111.19 90.00°
Fractional coordinates of all 10 atoms:
1 Th 0.331 0.831 0.162
2 Pm 0.000 0.500 0.000
3 Th 0.000 0.000 0.500
4 Pm 0.500 0.000 0.000
5 Th 0.000 0.500 0.500
6 Dy 0.695 0.750 0.500
7 Dy 0.305 0.250 0.500
8 Th 0.669 0.669 0.838
9 Th 0.669 0.169 0.838
10 Th 0.331 0.331 0.162

Output
volume = 35.498 Å³ per atom
total energy = -5.9460 eV per atom
DFT formation energy = 0.3764 eV per atom
spin magnetization = 0.0 μB/f.u.
symmetry = Imma, No. 74

---

This record from the Alexandria database describes crystalline Pm3Dy3Th2 at its relaxed geometry. The functional is PBE.

Cell: 6.209 6.218 8.802 Å, 61.92 61.96 70.70°
Fractional coordinates of all 8 atoms:
1 Pm 0.630 0.130 0.739
2 Dy 0.128 0.628 0.745
3 Dy 0.000 0.000 0.000
4 Pm 0.500 0.500 0.000
5 Th 0.248 0.248 0.503
6 Th 0.752 0.752 0.497
7 Dy 0.872 0.372 0.255
8 Pm 0.370 0.870 0.261

Output
volume = 32.749 Å³ per atom
total energy = -5.3208 eV per atom
DFT formation energy = 0.0414 eV per atom
spin magnetization = 0.0 μB/f.u.
polymorph energy (0 for the lowest one) = 0.011 eV/atom
symmetry = P-1, No. 2

---

> Which of these has the lowest DFT formation energy?

number 10

---

> Look up the DFT formation energy of the eleventh one.

0.3764 eV per atom

---

> Number 11 is which compound?

PmDyTh3